Density functional theory data (PBE+U) for a geometry-optimized PuCrF6 structure.

For the total energy, the calculation gives -7.29 eV per atom. The mass density comes out at 5.53 Mg/m³. The value obtained for the density of states at the Fermi level is 6.9 states/eV/f.u.

```
8
Lattice="5.1215 0.0000 0.0000 0.0000 4.5630 -2.6344 0.0000 0.0000 5.2689" Properties=species:S:1:pos:R:3 pbc="T T T"
Pu 2.5608 0.0000 0.0000
Cr 0.0000 3.0420 0.0000
F 3.9437 4.3888 0.8319
F 1.1778 4.3888 -0.8319
F 1.1778 3.0890 1.5823
F 3.9437 3.0890 -1.5823
F 3.9437 1.6481 0.7504
F 1.1778 1.6481 -0.7504
```